[1]
A geometry-optimized Re2Ir2O5 structure. Source: OQMD, functional PBE.

a b c (Å): 8.6032 3.3492 3.3492
angles (deg): 90.00 90.00 90.00
Positions (direct):
Ir1 0.0000 0.0000 0.0000
Ir2 0.5000 0.0000 0.0000
O1 0.7173 0.5000 0.0000
O2 0.2827 0.0000 0.5000
Re1 0.1603 0.5000 0.5000
O3 0.7173 0.0000 0.5000
O4 0.5000 0.5000 0.5000
O5 0.2827 0.5000 0.0000
Re2 0.8397 0.5000 0.5000

Relative energy among the computed polymorphs   0.00 eV per formula unit
M_tot   1.47 μB/cell
Volume   97 Å³/f.u.

[2]
A geometry-optimized Ta4CuPbN2 structure. Source: OQMD, functional PBE.

a b c (Å): 3.1934 3.1934 13.5481
angles (deg): 90.00 90.00 120.00
Positions (direct):
Pb1 0.6667 0.3333 0.5000
Ta1 0.6667 0.3333 0.1498
Ta2 0.0000 0.0000 0.3186
Cu1 0.0000 0.0000 0.0000
N1 0.3333 0.6667 0.2332
Ta3 0.6667 0.3333 0.8502
Ta4 0.0000 0.0000 0.6814
N2 0.3333 0.6667 0.7668

Total energy   -9.201 eV/atom
M_tot   0.00 μB/cell
Volume   120 Å³/f.u.

[3]
A geometry-optimized Hf2AgSn structure. Source: OQMD, functional PBE.

a b c (Å): 4.9443 4.9443 4.9443
angles (deg): 60.00 60.00 60.00
Positions (direct):
Hf1 0.0000 0.0000 0.0000
Ag1 0.2500 0.2500 0.2500
Hf2 0.7500 0.7500 0.7500
Sn1 0.5000 0.5000 0.5000

Total energy   -6.427 eV/atom
M_tot   2.08 μB/cell
Volume   85 Å³/f.u.

[4]
A geometry-optimized ScNbBi structure. Source: OQMD, functional PBE.

a b c (Å): 4.8346 4.8346 4.8346
angles (deg): 60.00 60.00 60.00
Positions (direct):
Nb1 0.7500 0.7500 0.7500
Sc1 0.0000 0.0000 0.0000
Bi1 0.2500 0.2500 0.2500

Total energy   -6.178 eV/atom
M_tot   3.09 μB/cell
Volume   80 Å³/f.u.

[5]
A geometry-optimized Er4SiPt3 structure. Source: OQMD, functional PBE.

a b c (Å): 5.5788 4.3205 7.2215
angles (deg): 90.00 90.10 90.00
Positions (direct):
Er1 0.6348 0.0000 0.1774
Pt1 0.6561 0.5000 0.4545
Er2 0.1337 0.5000 0.3233
Si1 0.1384 0.0000 0.0388
Er3 0.3695 0.5000 0.8131
Pt2 0.3429 0.0000 0.5449
Er4 0.8595 0.0000 0.6828
Pt3 0.8651 0.5000 0.9652

Total energy   -6.392 eV/atom
M_tot   0.00 μB/cell
Volume   174 Å³/f.u.

[6]
A geometry-optimized HoTaN2O structure. Source: OQMD, functional PBE.

a b c (Å): 5.6461 3.8945 5.8502
angles (deg): 90.00 90.00 90.00
Positions (direct):
N1 0.2500 0.0000 0.8107
Ta1 0.7500 0.5000 0.2744
O1 0.0000 0.5000 0.0000
N2 0.7500 0.0000 0.1893
N3 0.0000 0.5000 0.5000
Ho1 0.7500 0.0000 0.8094
Ho2 0.2500 0.0000 0.1906
O2 0.5000 0.5000 0.0000
Ta2 0.2500 0.5000 0.7256
N4 0.5000 0.5000 0.5000

Total energy   -9.351 eV/atom
M_tot   0.00 μB/cell
Volume   64 Å³/f.u.

[7]
A geometry-optimized Nd4B2P5 structure. Source: OQMD, functional PBE.

a b c (Å): 7.6010 7.6010 10.7543
angles (deg): 130.17 130.17 30.70
Positions (direct):
Nd1 0.9359 0.9359 0.1756
P1 0.0000 0.0000 0.5000
P2 0.6262 0.6262 0.3106
B1 0.5738 0.5738 0.0910
Nd2 0.2976 0.2976 0.3584
P3 0.2988 0.2988 0.9156
P4 0.7012 0.7012 0.0844
Nd3 0.0641 0.0641 0.8244
B2 0.4262 0.4262 0.9090
Nd4 0.7024 0.7024 0.6416
P5 0.3738 0.3738 0.6894

Total energy   -6.412 eV/atom
M_tot   0.01 μB/cell
Volume   236 Å³/f.u.

[8]
A geometry-optimized Tm4S3N2 structure. Source: OQMD, functional PBE.

a b c (Å): 6.6212 6.6212 9.6994
angles (deg): 126.28 126.28 32.96
Positions (direct):
Tm1 0.5640 0.5640 0.3544
S1 0.0000 0.0000 0.5000
N1 0.3573 0.3573 0.1381
Tm2 0.4360 0.4360 0.6456
N2 0.6427 0.6427 0.8619
S2 0.1738 0.1738 0.2831
S3 0.8262 0.8262 0.7169
Tm3 0.7616 0.7616 0.1487
Tm4 0.2384 0.2384 0.8513

Relative energy among the computed polymorphs   0.00 eV per formula unit
M_tot   0.00 μB/cell
Volume   182 Å³/f.u.

[9]
A geometry-optimized LiTb5Se6 structure. Source: OQMD, functional PBE.

a b c (Å): 7.0401 7.0401 7.0550
angles (deg): 99.61 99.61 120.03
Positions (direct):
Se1 0.7592 0.7592 0.2427
Tb1 0.1674 0.8326 0.5000
Se2 0.4047 0.0808 0.2443
Tb2 0.6651 0.3349 0.0000
Tb3 0.5000 0.5000 0.5000
Se3 0.5953 0.9192 0.7557
Se4 0.2408 0.2408 0.7573
Se5 0.9192 0.5953 0.7557
Tb4 0.3349 0.6651 0.0000
Tb5 0.8326 0.1674 0.5000
Li1 0.0000 0.0000 0.0000
Se6 0.0808 0.4047 0.2443

Total energy   -5.599 eV/atom
M_tot   0.00 μB/cell
Volume   285 Å³/f.u.

[10]
A geometry-optimized DyErCo2Si4 structure. Source: OQMD, functional PBE.

a b c (Å): 3.9500 8.3843 8.3843
angles (deg): 27.54 90.00 90.00
Positions (direct):
Co1 0.5000 0.3219 0.3219
Co2 0.0000 0.6782 0.6782
Dy1 0.5000 0.1076 0.1076
Si1 0.5000 0.4575 0.4575
Si2 0.5000 0.7502 0.7502
Er1 0.0000 0.8923 0.8923
Si3 0.0000 0.2500 0.2500
Si4 0.0000 0.5423 0.5423

Total energy   -6.417 eV/atom
M_tot   0.00 μB/cell
Volume   128 Å³/f.u.

[11]
A geometry-optimized YHoSnCl2 structure. Source: OQMD, functional PBE.

a b c (Å): 4.1752 4.1752 9.7217
angles (deg): 90.00 90.00 120.00
Positions (direct):
Y1 0.6667 0.3333 0.6851
Ho1 0.0000 0.0000 0.3145
Sn1 0.3333 0.6667 0.4986
Cl1 0.0000 0.0000 0.8392
Cl2 0.6667 0.3333 0.1627

Total energy   -5.224 eV/atom
M_tot   0.00 μB/cell
Volume   147 Å³/f.u.

[12]
A geometry-optimized PmTc2 structure. Source: OQMD, functional PBE.

a b c (Å): 8.9647 8.9647 8.9647
angles (deg): 60.00 60.00 60.00
Positions (direct):
Tc1 0.8750 0.3750 0.3750
Pm1 0.5000 0.5000 0.5000
Tc2 0.3750 0.3750 0.3750
Tc3 0.3750 0.8750 0.3750
Tc4 0.3750 0.3750 0.8750
Pm2 0.2500 0.2500 0.2500

Relative energy among the computed polymorphs   10.40 eV per formula unit
Formation enthalpy at 0 K   3.475 eV per atom
M_tot   13.99 μB/cell
Volume   255 Å³/f.u.

[13]
A geometry-optimized NdTm3Zr2Te2Os structure. Source: OQMD, functional PBE.

a b c (Å): 3.8597 8.2116 8.2116
angles (deg): 121.37 90.00 90.00
Positions (direct):
Te1 0.0000 0.3292 0.6773
Tm1 0.0000 0.9954 0.2388
Os1 0.5000 0.9969 0.9969
Nd1 0.5000 0.4035 0.4035
Zr1 0.5000 0.6028 0.0000
Tm2 0.0000 0.7561 0.7561
Zr2 0.5000 0.0000 0.6028
Tm3 0.0000 0.2388 0.9954
Te2 0.0000 0.6773 0.3292

Total energy   -6.444 eV/atom
M_tot   0.00 μB/cell
Volume   222 Å³/f.u.

[14]
A geometry-optimized Ac2Pa2O5 structure. Source: OQMD, functional PBE.

a b c (Å): 9.7056 4.2502 4.2502
angles (deg): 90.00 90.00 90.00
Positions (direct):
O1 0.6519 0.5000 0.0000
Ac1 0.7464 0.5000 0.5000
O2 0.3481 0.0000 0.5000
O3 0.5000 0.5000 0.5000
Pa1 0.5000 0.0000 0.0000
O4 0.3481 0.5000 0.0000
Pa2 0.0000 0.0000 0.0000
O5 0.6519 0.0000 0.5000
Ac2 0.2536 0.5000 0.5000

Relative energy among the computed polymorphs   5.73 eV per formula unit
M_tot   3.71 μB/cell
Volume   175 Å³/f.u.

[15]
A geometry-optimized ThTaB4 structure. Source: OQMD, functional PBE.

a b c (Å): 3.1750 3.1750 7.5814
angles (deg): 90.00 90.00 120.00
Positions (direct):
B1 0.3333 0.6667 0.7831
B2 0.6667 0.3333 0.2169
Th1 0.0000 0.0000 0.5000
B3 0.3333 0.6667 0.2169
B4 0.6667 0.3333 0.7831
Ta1 0.0000 0.0000 0.0000

Total energy   -8.285 eV/atom
M_tot   0.01 μB/cell
Volume   66 Å³/f.u.

[16]
A geometry-optimized TaBeSiNi structure. Source: OQMD, functional PBE.

a b c (Å): 4.1362 4.1362 4.1362
angles (deg): 60.00 60.00 60.00
Positions (direct):
Be1 0.5000 0.5000 0.5000
Ta1 0.2500 0.2500 0.2500
Ni1 0.7500 0.7500 0.7500
Si1 0.0000 0.0000 0.0000

Relative energy among the computed polymorphs   0.00 eV per formula unit
M_tot   0.00 μB/cell
Volume   50 Å³/f.u.

[17]
A geometry-optimized Y3Co structure. Source: OQMD, functional PBE.

a b c (Å): 6.9755 9.4336 6.2733
angles (deg): 90.00 90.00 90.00
Positions (direct):
Y1 0.3250 0.9326 0.6766
Y2 0.3250 0.5674 0.6766
Y3 0.1750 0.0674 0.1766
Co1 0.8883 0.2500 0.0450
Y4 0.0434 0.2500 0.6402
Y5 0.1750 0.4326 0.1766
Y6 0.5434 0.2500 0.8598
Y7 0.4566 0.7500 0.1402
Y8 0.6750 0.4326 0.3234
Co2 0.6117 0.7500 0.5450
Co3 0.3883 0.2500 0.4550
Y9 0.8250 0.5674 0.8234
Y10 0.8250 0.9326 0.8234
Co4 0.1117 0.7500 0.9550
Y11 0.6750 0.0674 0.3234
Y12 0.9566 0.7500 0.3598

Formation enthalpy at 0 K   -0.147 eV per atom
M_tot   0.01 μB/cell
Volume   103 Å³/f.u.

[18]
A geometry-optimized Li2Mg2TlGePt2 structure. Source: OQMD, functional PBE.

a b c (Å): 4.5040 4.5040 6.4990
angles (deg): 90.00 90.00 90.00
Positions (direct):
Mg1 0.5000 0.5000 0.5000
Li1 0.0000 0.5000 0.2316
Mg2 0.0000 0.0000 0.0000
Ge1 0.5000 0.5000 0.0000
Li2 0.5000 0.0000 0.7684
Pt1 0.5000 0.0000 0.2196
Pt2 0.0000 0.5000 0.7804
Tl1 0.0000 0.0000 0.5000

Total energy   -3.797 eV/atom
M_tot   0.03 μB/cell
Volume   132 Å³/f.u.

[19]
A geometry-optimized PmSmCl2O2 structure. Source: OQMD, functional PBE.

a b c (Å): 4.0025 4.0025 6.7291
angles (deg): 90.00 90.00 90.00
Positions (direct):
O1 0.0000 0.5000 0.0012
Pm1 0.5000 0.5000 0.8255
Cl1 0.0000 0.0000 0.6269
Cl2 0.5000 0.5000 0.3724
O2 0.5000 0.0000 0.0012
Sm1 0.0000 0.0000 0.1727

Total energy   -6.896 eV/atom
M_tot   0.00 μB/cell
Volume   108 Å³/f.u.

[20]
A geometry-optimized YZnCoBi structure. Source: OQMD, functional PBE.

a b c (Å): 4.8069 4.8069 4.8069
angles (deg): 60.00 60.00 60.00
Positions (direct):
Zn1 0.2500 0.2500 0.2500
Co1 0.7500 0.7500 0.7500
Y1 0.5000 0.5000 0.5000
Bi1 0.0000 0.0000 0.0000

Relative energy among the computed polymorphs   0.00 eV per formula unit
M_tot   0.45 μB/cell
Volume   79 Å³/f.u.